1.
Entry from Alexandria: crystalline Sc2TeIr at its relaxed geometry (GGA-PBEsol).

Results
Spin magnetization in μB per cell: 0.001
Raw formation energy in eV/atom: 0.110
Energy in eV per cell: -78.4

a b c (Å): 3.4531 3.4531 26.3861
angles (deg): 90.00 90.00 120.00
Space group R-3m (No. 166, hexagonal axes)
Unique sites:
Sc1 0.0000 0.0000 0.0899
Te1 0.0000 0.0000 0.5000
Ir1 0.0000 0.0000 0.0000

---

2.
Entry from Alexandria: crystalline ScTl3Ir at its relaxed geometry (GGA-PBEsol).

Results
Spin magnetization in μB per cell: 0.000
Formation energy in eV/atom: 0.449
Energy in eV per cell: -22.1

a b c (Å): 5.151 5.151 5.151
angles (deg): 90.00 90.00 90.00
Space group Pm-3m (No. 221)
Unique sites:
Sc1 0.000 0.000 0.000
Tl1 0.000 0.500 0.500
Ir1 0.500 0.500 0.500

---

3.
Entry from Alexandria: crystalline ScIrW at its relaxed geometry (GGA-PBEsol).

Results
Spin magnetization in μB per cell: 0.000
Formation energy in eV/atom: -0.234
Energy in eV per cell: -61.9

a b c (Å): 2.896 2.896 11.826
angles (deg): 90.00 90.00 90.00
Space group I4mm (No. 107)
Unique sites:
Sc1 0.000 0.000 0.000
Ir1 0.000 0.000 0.668
W1 0.000 0.000 0.311

---

4.
Entry from Alexandria: crystalline ScIr2W at its relaxed geometry (GGA-PBEsol).

Results
Spin magnetization in μB per cell: 0.000
Formation energy in eV/atom: -0.332
Energy in eV per cell: -41.4
ΔE to the lowest computed polymorph in meV per atom: 132

a b c (Å): 4.088 4.088 3.688
angles (deg): 90.00 90.00 90.00
Space group P4/mmm (No. 123)
Unique sites:
Sc1 0.000 0.000 0.000
Ir1 0.000 0.500 0.500
W1 0.500 0.500 0.000

---

5.
Entry from Alexandria: crystalline Sc2IrW at its relaxed geometry (GGA-PBEsol).

Results
Spin magnetization in μB per cell: 0.000
Formation energy in eV/atom: -0.026
Energy in eV per cell: -36.9

a b c (Å): 2.924 4.240 5.525
angles (deg): 90.00 90.00 90.00
Space group Pmm2 (No. 25)
Unique sites:
Sc1 0.000 0.000 0.000
Sc2 0.500 0.500 0.273
Ir1 0.500 0.500 0.750
W1 0.000 0.000 0.526

---

6.
Entry from Alexandria: crystalline ScIrW2 at its relaxed geometry (GGA-PBEsol).

Results
Spin magnetization in μB per cell: 0.000
Formation energy in eV/atom: 0.028
Energy in eV per cell: -87.9

a b c (Å): 9.953 2.787 5.070
angles (deg): 90.00 112.17 90.00
Space group Cm (No. 8)
Unique sites:
Sc1 0.000 0.000 0.000
Ir1 0.243 0.500 0.074
W1 0.214 0.000 0.597
W2 0.453 0.000 0.486

---

- Among the records above, which one has the lowest energy?
  ScIrW2